No. 1
Entry from Alexandria: a geometry-optimized Tb8Al2Pd structure (PBE).

a = 5.035 Å, b = 6.660 Å, c = 9.600 Å
α = 101.58°, β = 105.20°, γ = 90.00°
Sites, in units of the cell vectors:
Pd 0.500 0.000 0.000
Tb 0.407 0.537 0.813
Tb 0.210 0.306 0.419
Tb 0.652 0.976 0.303
Tb 0.022 0.773 0.044
Tb 0.790 0.694 0.581
Tb 0.593 0.463 0.187
Tb 0.978 0.227 0.956
Tb 0.348 0.024 0.697
Al 0.811 0.245 0.622
Al 0.189 0.755 0.378

Calculated values
Formation energy from the elements, eV per atom: -0.275
Crystal system: monoclinic


No. 2
Entry from Alexandria: a geometry-optimized Zn2AgTe structure (PBE).

a = 5.026 Å, b = 5.026 Å, c = 4.531 Å
α = 90.00°, β = 90.00°, γ = 53.43°
Sites, in units of the cell vectors:
Te 0.250 0.250 0.250
Zn 0.440 0.440 0.749
Zn 0.060 0.060 0.751
Ag 0.750 0.750 0.750

Calculated values
ΔE_f (raw), eV per atom: -0.0028
Distance to the lowest polymorph of the same formula, eV/atom: 0.000
Crystal system: orthorhombic


No. 3
Entry from Alexandria: a geometry-optimized Na2TbF6 structure (PBE).

a = 4.248 Å, b = 4.247 Å, c = 7.419 Å
α = 106.62°, β = 106.63°, γ = 90.00°
Sites, in units of the cell vectors:
F 0.081 0.082 0.161
F 0.196 0.696 0.391
F 0.419 0.416 0.839
F 0.919 0.918 0.839
F 0.581 0.584 0.161
F 0.804 0.304 0.609
Na 0.750 0.750 0.500
Na 0.250 0.250 0.500
Tb 0.000 0.500 0.000

Calculated values
ΔE_f (raw), eV per atom: -2.9397
Crystal system: monoclinic


No. 4
Entry from Alexandria: a geometry-optimized RePtSe2N structure (PBE).

a = 5.171 Å, b = 5.171 Å, c = 3.626 Å
α = 90.00°, β = 90.00°, γ = 90.00°
Sites, in units of the cell vectors:
Se 0.500 0.000 0.000
Se 0.000 0.500 0.000
Pt 0.000 0.000 0.000
Re 0.500 0.500 0.500
N 0.000 0.000 0.500

Calculated values
ΔE_f (raw), eV per atom: 1.3325
Distance to the lowest polymorph of the same formula, eV/atom: 0.710
Crystal system: tetragonal


No. 5
Entry from Alexandria: a geometry-optimized Ti3S3N structure (PBE).

a = 4.840 Å, b = 4.840 Å, c = 4.840 Å
α = 104.34°, β = 104.34°, γ = 104.34°
Sites, in units of the cell vectors:
Ti 0.990 0.571 0.990
Ti 0.990 0.990 0.571
Ti 0.571 0.990 0.990
S 0.557 0.169 0.557
S 0.169 0.557 0.557
S 0.557 0.557 0.169
N 0.965 0.965 0.965

Calculated values
ΔE_f (raw), eV per atom: -1.0904
Distance to the lowest polymorph of the same formula, eV/atom: 0.348
Crystal system: trigonal


No. 6
Entry from Alexandria: a geometry-optimized Cs2Li2US4 structure (PBE).

a = 4.177 Å, b = 8.017 Å, c = 7.867 Å
α = 108.13°, β = 105.40°, γ = 90.00°
Sites, in units of the cell vectors:
U 0.000 0.000 0.000
S 0.188 0.144 0.376
S 0.812 0.856 0.624
S 0.518 0.788 0.036
S 0.482 0.212 0.964
Li 0.680 0.985 0.360
Li 0.320 0.015 0.640
Cs 0.140 0.565 0.279
Cs 0.860 0.435 0.721

Calculated values
ΔE_f (raw), eV per atom: -1.3780
Crystal system: monoclinic